Run a
A relaxed La2BiSb crystal. Source: Alexandria, functional PBE.

```
data_La2BiSb
_chemical_formula_sum 'La6 Bi3 Sb3'
_symmetry_space_group_name_H-M 'R -3 m'
_symmetry_Int_Tables_number 166
_symmetry_space_group_name_Hall '-R 3 2"'
_cell_length_a 4.6671
_cell_length_b 4.6671
_cell_length_c 22.8491
_cell_angle_alpha 90.00
_cell_angle_beta 90.00
_cell_angle_gamma 120.00
loop_
_atom_site_label
_atom_site_type_symbol
_atom_site_fract_x
_atom_site_fract_y
_atom_site_fract_z
La1 La 0.0000 0.0000 0.2483
Bi1 Bi 0.0000 0.0000 0.0000
Sb1 Sb 0.0000 0.0000 0.5000
```

=====

Run b
A relaxed La2BiSb crystal. Source: Alexandria, functional PBE.

```
data_La2BiSb
_chemical_formula_sum 'La6 Bi3 Sb3'
_symmetry_space_group_name_H-M 'R 3 m'
_symmetry_Int_Tables_number 160
_symmetry_space_group_name_Hall 'R 3 -2"'
_cell_length_a 4.6068
_cell_length_b 4.6068
_cell_length_c 23.8674
_cell_angle_alpha 90.00
_cell_angle_beta 90.00
_cell_angle_gamma 120.00
loop_
_atom_site_label
_atom_site_type_symbol
_atom_site_fract_x
_atom_site_fract_y
_atom_site_fract_z
La1 La 0.0000 0.0000 0.0000
La2 La 0.0000 0.0000 0.1738
Bi1 Bi 0.0000 0.0000 0.7545
Sb1 Sb 0.0000 0.0000 0.5856
```

=====

Most favorable structure: run a. The second most favorable one is 0.106 eV/atom above it.

=====

Run a
A relaxed La2BiSb crystal. Source: Alexandria, functional PBE.

```
data_La2BiSb
_chemical_formula_sum 'La8 Bi4 Sb4'
_symmetry_space_group_name_H-M 'I -4 2 d'
_symmetry_Int_Tables_number 122
_symmetry_space_group_name_Hall 'I -4 2bw'
_cell_length_a 7.380
_cell_length_b 7.380
_cell_length_c 14.505
_cell_angle_alpha 90.00
_cell_angle_beta 90.00
_cell_angle_gamma 90.00
loop_
_atom_site_label
_atom_site_type_symbol
_atom_site_fract_x
_atom_site_fract_y
_atom_site_fract_z
La1 La 0.243 0.250 0.125
Bi1 Bi 0.000 0.000 0.500
Sb1 Sb 0.000 0.000 0.000
```

=====

Run b
A relaxed La2BiSb crystal. Source: Alexandria, functional PBE.

```
data_La2BiSb
_chemical_formula_sum 'La2 Bi1 Sb1'
_symmetry_space_group_name_H-M 'P 4/m m m'
_symmetry_Int_Tables_number 123
_symmetry_space_group_name_Hall '-P 4 2'
_cell_length_a 3.930
_cell_length_b 3.930
_cell_length_c 8.282
_cell_angle_alpha 90.00
_cell_angle_beta 90.00
_cell_angle_gamma 90.00
loop_
_atom_site_label
_atom_site_type_symbol
_atom_site_fract_x
_atom_site_fract_y
_atom_site_fract_z
La1 La 0.000 0.000 0.234
Bi1 Bi 0.500 0.500 0.500
Sb1 Sb 0.500 0.500 0.000
```

=====

Most favorable structure: run b. The second most favorable one is 0.307 eV/atom above it.

=====

Run a
A relaxed LaBi2Sb2 crystal. Source: Alexandria, functional PBE.

```
data_LaBi2Sb2
_chemical_formula_sum 'La2 Bi4 Sb4'
_symmetry_space_group_name_H-M 'I 4/m m m'
_symmetry_Int_Tables_number 139
_symmetry_space_group_name_Hall '-I 4 2'
_cell_length_a 4.528
_cell_length_b 4.528
_cell_length_c 16.203
_cell_angle_alpha 90.00
_cell_angle_beta 90.00
_cell_angle_gamma 90.00
loop_
_atom_site_label
_atom_site_type_symbol
_atom_site_fract_x
_atom_site_fract_y
_atom_site_fract_z
La1 La 0.000 0.000 0.000
Bi1 Bi 0.000 0.500 0.250
Sb1 Sb 0.000 0.000 0.411
```

=====

Run b
A relaxed LaBi2Sb2 crystal. Source: Alexandria, functional PBE.

```
data_LaBi2Sb2
_chemical_formula_sum 'La2 Bi4 Sb4'
_symmetry_space_group_name_H-M 'P 4/m b m'
_symmetry_Int_Tables_number 127
_symmetry_space_group_name_Hall '-P 4 2ab'
_cell_length_a 8.593
_cell_length_b 8.593
_cell_length_c 4.368
_cell_angle_alpha 90.00
_cell_angle_beta 90.00
_cell_angle_gamma 90.00
loop_
_atom_site_label
_atom_site_type_symbol
_atom_site_fract_x
_atom_site_fract_y
_atom_site_fract_z
La1 La 0.000 0.000 0.000
Bi1 Bi 0.182 0.318 0.500
Sb1 Sb 0.144 0.644 0.000
```

=====

Most favorable structure: run b. The second most favorable one is 0.107 eV/atom above it.

=====

Run a
A relaxed LaBi2Sb2 crystal. Source: Alexandria, functional PBE.

```
data_LaBi2Sb2
_chemical_formula_sum 'La2 Bi4 Sb4'
_symmetry_space_group_name_H-M 'P 4/m b m'
_symmetry_Int_Tables_number 127
_symmetry_space_group_name_Hall '-P 4 2ab'
_cell_length_a 8.703
_cell_length_b 8.703
_cell_length_c 4.293
_cell_angle_alpha 90.00
_cell_angle_beta 90.00
_cell_angle_gamma 90.00
loop_
_atom_site_label
_atom_site_type_symbol
_atom_site_fract_x
_atom_site_fract_y
_atom_site_fract_z
La1 La 0.000 0.000 0.000
Bi1 Bi 0.136 0.364 0.000
Sb1 Sb 0.194 0.694 0.500
```

=====

Run b
A relaxed LaBi2Sb2 crystal. Source: Alexandria, functional PBE.

```
data_LaBi2Sb2
_chemical_formula_sum 'La4 Bi8 Sb8'
_symmetry_space_group_name_H-M 'C m c m'
_symmetry_Int_Tables_number 63
_symmetry_space_group_name_Hall '-C 2c 2'
_cell_length_a 4.503
_cell_length_b 28.394
_cell_length_c 4.822
_cell_angle_alpha 90.00
_cell_angle_beta 90.00
_cell_angle_gamma 90.00
loop_
_atom_site_label
_atom_site_type_symbol
_atom_site_fract_x
_atom_site_fract_y
_atom_site_fract_z
La1 La 0.000 0.161 0.250
Bi1 Bi 0.000 0.064 0.750
Bi2 Bi 0.000 0.459 0.750
Sb1 Sb 0.000 0.249 0.750
Sb2 Sb 0.000 0.355 0.250
```

=====

Most favorable structure: run b. The second most favorable one is 0.146 eV/atom above it.

=====

Run a
A relaxed LaBi3Sb crystal. Source: Alexandria, functional PBE.

```
data_LaBi3Sb
_chemical_formula_sum 'La1 Bi3 Sb1'
_symmetry_space_group_name_H-M 'P m -3 m'
_symmetry_Int_Tables_number 221
_symmetry_space_group_name_Hall '-P 4 2 3'
_cell_length_a 6.109
_cell_length_b 6.109
_cell_length_c 6.109
_cell_angle_alpha 90.00
_cell_angle_beta 90.00
_cell_angle_gamma 90.00
loop_
_atom_site_label
_atom_site_type_symbol
_atom_site_fract_x
_atom_site_fract_y
_atom_site_fract_z
La1 La 0.000 0.000 0.000
Bi1 Bi 0.000 0.000 0.500
Sb1 Sb 0.500 0.500 0.500
```

=====

Run b
A relaxed LaBi3Sb crystal. Source: Alexandria, functional PBE.

```
data_LaBi3Sb
_chemical_formula_sum 'La1 Bi3 Sb1'
_symmetry_space_group_name_H-M 'P m -3 m'
_symmetry_Int_Tables_number 221
_symmetry_space_group_name_Hall '-P 4 2 3'
_cell_length_a 5.794
_cell_length_b 5.794
_cell_length_c 5.794
_cell_angle_alpha 90.00
_cell_angle_beta 90.00
_cell_angle_gamma 90.00
loop_
_atom_site_label
_atom_site_type_symbol
_atom_site_fract_x
_atom_site_fract_y
_atom_site_fract_z
La1 La 0.000 0.000 0.000
Bi1 Bi 0.000 0.500 0.500
Sb1 Sb 0.500 0.500 0.500
```

=====

Most favorable structure: run b. The second most favorable one is 0.461 eV/atom above it.

=====

Run a
A relaxed La2Bi2Sb crystal. Source: Alexandria, functional PBE.

```
data_La2Bi2Sb
_chemical_formula_sum 'La4 Bi4 Sb2'
_symmetry_space_group_name_H-M 'P 4/m b m'
_symmetry_Int_Tables_number 127
_symmetry_space_group_name_Hall '-P 4 2ab'
_cell_length_a 8.616
_cell_length_b 8.616
_cell_length_c 4.572
_cell_angle_alpha 90.00
_cell_angle_beta 90.00
_cell_angle_gamma 90.00
loop_
_atom_site_label
_atom_site_type_symbol
_atom_site_fract_x
_atom_site_fract_y
_atom_site_fract_z
La1 La 0.159 0.341 0.000
Bi1 Bi 0.150 0.650 0.500
Sb1 Sb 0.000 0.000 0.000
```

=====

Run b
A relaxed La2Bi2Sb crystal. Source: Alexandria, functional PBE.

```
data_La2Bi2Sb
_chemical_formula_sum 'La4 Bi4 Sb2'
_symmetry_space_group_name_H-M 'P 4/m b m'
_symmetry_Int_Tables_number 127
_symmetry_space_group_name_Hall '-P 4 2ab'
_cell_length_a 8.690
_cell_length_b 8.690
_cell_length_c 4.434
_cell_angle_alpha 90.00
_cell_angle_beta 90.00
_cell_angle_gamma 90.00
loop_
_atom_site_label
_atom_site_type_symbol
_atom_site_fract_x
_atom_site_fract_y
_atom_site_fract_z
La1 La 0.159 0.341 0.000
Bi1 Bi 0.149 0.649 0.500
Sb1 Sb 0.000 0.000 0.500
```

=====

Most favorable structure: run a. The second most favorable one is 0.019 eV/atom above it.